Below is a relaxed structure of Sm2Dy6ErMg, with properties calculated at the PBE-GGA level.

The structure in POSCAR format:
```
Sm2Dy6ErMg
1.0
6.506 -0.746 -0.774
1.565 10.301 -3.418
1.565 -3.798 10.168
Dy Mg Sm Er
12 2 4 2
direct
0.529 0.794 0.088 Dy
0.017 0.702 0.530 Dy
0.983 0.298 0.470 Dy
0.517 0.530 0.702 Dy
0.029 0.088 0.794 Dy
0.778 0.438 0.915 Dy
0.971 0.912 0.206 Dy
0.483 0.470 0.298 Dy
0.722 0.085 0.562 Dy
0.278 0.915 0.438 Dy
0.471 0.206 0.912 Dy
0.222 0.562 0.085 Dy
0.250 0.294 0.706 Mg
0.750 0.706 0.294 Mg
0.502 0.817 0.652 Sm
0.998 0.348 0.183 Sm
0.002 0.652 0.817 Sm
0.498 0.183 0.348 Sm
0.750 0.007 0.993 Er
0.250 0.993 0.007 Er
```

Properties
For the formation energy, the calculation gives 0.106 eV/atom.


Below is a relaxed structure of Sm4DyEr2Mg, with properties calculated at the PBE-GGA level.

The structure in POSCAR format:
```
Sm4DyEr2Mg
1.0
5.021 0.000 0.000
0.000 4.885 1.190
0.000 2.537 10.833
Er Sm Dy Mg
2 4 1 1
direct
0.000 0.000 0.000 Er
0.500 0.000 0.500 Er
0.000 0.254 0.246 Sm
0.500 0.246 0.754 Sm
0.000 0.746 0.754 Sm
0.500 0.754 0.246 Sm
0.000 0.500 0.500 Dy
0.500 0.500 0.000 Mg
```

Properties
For the formation energy, the calculation gives 0.011 eV/atom.


Below is a relaxed structure of Sm2Dy4ErMg, with properties calculated at the PBE-GGA level.

The structure in POSCAR format:
```
Sm2Dy4ErMg
1.0
-3.421 -0.692 3.530
3.577 -0.072 3.452
2.711 9.876 4.564
Dy Sm Er Mg
4 2 1 1
direct
0.500 0.250 0.750 Dy
0.500 0.750 0.250 Dy
0.000 0.749 0.751 Dy
0.000 0.251 0.249 Dy
0.000 0.000 0.000 Sm
0.500 0.000 0.500 Sm
0.000 0.500 0.500 Er
0.500 0.500 0.000 Mg
```

Properties
For the formation energy, the calculation gives 0.025 eV/atom.


Below is a relaxed structure of SmDy4Er2Mg, with properties calculated at the PBE-GGA level.

The structure in POSCAR format:
```
SmDy4Er2Mg
1.0
5.731 0.000 0.000
0.000 9.398 -0.484
0.000 3.714 4.361
Sm Dy Er Mg
1 4 2 1
direct
0.500 0.500 0.000 Sm
0.000 0.254 0.246 Dy
0.000 0.746 0.754 Dy
0.500 0.746 0.255 Dy
0.500 0.254 0.745 Dy
0.500 0.000 0.500 Er
0.000 0.000 0.000 Er
0.000 0.500 0.500 Mg
```

Properties
For the formation energy, the calculation gives 0.095 eV/atom.


Below is a relaxed structure of Sm6Dy3Er2Mg, with properties calculated at the PBE-GGA level.

The structure in POSCAR format:
```
Sm6Dy3Er2Mg
1.0
6.183 -0.002 0.004
-3.092 5.355 0.004
-1.041 -1.803 11.515
Sm Er Dy Mg
6 2 3 1
direct
0.251 0.251 0.751 Sm
0.585 0.918 0.752 Sm
0.918 0.585 0.752 Sm
0.415 0.082 0.248 Sm
0.082 0.415 0.248 Sm
0.749 0.749 0.249 Sm
0.666 0.334 0.000 Er
0.334 0.666 0.000 Er
0.500 0.500 0.500 Dy
0.834 0.166 0.500 Dy
0.166 0.834 0.500 Dy
0.000 0.000 0.000 Mg
```

Properties
For the formation energy, the calculation gives 0.025 eV/atom.


Below is a relaxed structure of Sm6Dy2ErMg, with properties calculated at the PBE-GGA level.

The structure in POSCAR format:
```
Sm6Dy2ErMg
1.0
0.693 9.066 2.723
-8.781 0.090 -0.110
3.835 -3.091 7.270
Dy Sm Er Mg
4 12 2 2
direct
0.450 0.798 0.698 Dy
0.550 0.202 0.302 Dy
0.950 0.698 0.798 Dy
0.050 0.302 0.202 Dy
0.612 0.499 0.708 Sm
0.052 0.126 0.764 Sm
0.552 0.764 0.126 Sm
0.193 0.567 0.003 Sm
0.448 0.236 0.874 Sm
0.807 0.433 0.997 Sm
0.948 0.874 0.236 Sm
0.693 0.003 0.567 Sm
0.307 0.997 0.433 Sm
0.888 0.292 0.501 Sm
0.388 0.501 0.292 Sm
0.112 0.708 0.499 Sm
0.750 0.022 0.978 Er
0.250 0.978 0.022 Er
0.250 0.410 0.590 Mg
0.750 0.590 0.410 Mg
```

Properties
For the formation energy, the calculation gives 0.120 eV/atom.


Below is a relaxed structure of SmDy2Er2Mg, with properties calculated at the PBE-GGA level.

The structure in POSCAR format:
```
SmDy2Er2Mg
1.0
3.596 0.000 0.000
0.000 11.707 0.000
0.000 0.000 10.303
Dy Mg Er Sm
4 2 4 2
direct
0.000 0.726 0.909 Dy
0.000 0.274 0.091 Dy
0.500 0.774 0.409 Dy
0.500 0.226 0.591 Dy
0.500 0.500 0.500 Mg
0.000 0.000 0.000 Mg
0.000 0.571 0.253 Er
0.000 0.429 0.747 Er
0.500 0.071 0.247 Er
0.500 0.929 0.753 Er
0.500 0.500 0.000 Sm
0.000 0.000 0.500 Sm
```

Properties
For the formation energy, the calculation gives 0.494 eV/atom.


Below is a relaxed structure of SmDy6Er2Mg, with properties calculated at the PBE-GGA level.

The structure in POSCAR format:
```
SmDy6Er2Mg
1.0
8.366 -1.614 -1.675
1.161 8.712 -2.185
1.161 -2.506 8.625
Dy Er Sm Mg
12 4 2 2
direct
0.055 0.110 0.793 Dy
0.555 0.793 0.110 Dy
0.195 0.534 0.958 Dy
0.581 0.454 0.731 Dy
0.419 0.546 0.269 Dy
0.695 0.958 0.534 Dy
0.945 0.890 0.207 Dy
0.081 0.731 0.454 Dy
0.805 0.466 0.042 Dy
0.919 0.269 0.546 Dy
0.305 0.042 0.466 Dy
0.445 0.207 0.890 Dy
0.059 0.317 0.219 Er
0.559 0.219 0.317 Er
0.941 0.683 0.781 Er
0.441 0.781 0.683 Er
0.250 0.960 0.040 Sm
0.750 0.040 0.960 Sm
0.750 0.556 0.444 Mg
0.250 0.444 0.556 Mg
```

Properties
For the formation energy, the calculation gives 0.120 eV/atom.


Below is a relaxed structure of Sm2DyEr2Mg5, with properties calculated at the PBE-GGA level.

The structure in POSCAR format:
```
Sm2DyEr2Mg5
1.0
-3.336 1.656 -3.431
-7.936 -2.231 6.639
0.660 9.750 4.066
Sm Dy Er Mg
4 2 4 10
direct
0.000 0.322 0.822 Sm
0.000 0.178 0.322 Sm
0.000 0.678 0.178 Sm
0.000 0.822 0.678 Sm
0.000 0.500 0.500 Dy
0.000 0.000 0.000 Dy
0.000 0.619 0.881 Er
0.000 0.881 0.381 Er
0.000 0.381 0.119 Er
0.000 0.119 0.619 Er
0.500 0.198 0.069 Mg
0.500 0.000 0.500 Mg
0.500 0.569 0.698 Mg
0.500 0.302 0.569 Mg
0.500 0.802 0.931 Mg
0.500 0.069 0.802 Mg
0.500 0.931 0.198 Mg
0.500 0.431 0.302 Mg
0.500 0.698 0.431 Mg
0.500 0.500 0.000 Mg
```

Properties
For the formation energy, the calculation gives 0.048 eV/atom.


Below is a relaxed structure of Tb6Dy2ErMg, with properties calculated at the PBE-GGA level.

The structure in POSCAR format:
```
Tb6Dy2ErMg
1.0
6.484 -0.753 -0.781
1.596 10.275 -3.374
1.596 -3.752 10.143
Er Tb Dy Mg
2 12 4 2
direct
0.750 0.007 0.993 Er
0.250 0.993 0.007 Er
0.721 0.084 0.563 Tb
0.022 0.698 0.532 Tb
0.469 0.207 0.916 Tb
0.522 0.532 0.698 Tb
0.969 0.916 0.207 Tb
0.221 0.563 0.084 Tb
0.478 0.468 0.302 Tb
0.978 0.302 0.468 Tb
0.531 0.793 0.084 Tb
0.031 0.084 0.793 Tb
0.279 0.916 0.437 Tb
0.779 0.437 0.916 Tb
0.494 0.178 0.346 Dy
0.006 0.654 0.822 Dy
0.994 0.346 0.178 Dy
0.506 0.822 0.654 Dy
0.250 0.295 0.705 Mg
0.750 0.705 0.295 Mg
```

Properties
For the formation energy, the calculation gives 0.110 eV/atom.


Below is a relaxed structure of Tb2Dy3Er6Mg, with properties calculated at the PBE-GGA level.

The structure in POSCAR format:
```
Tb2Dy3Er6Mg
1.0
-1.913 -4.031 -4.117
5.005 -1.117 3.250
-7.383 -3.429 8.289
Er Mg Tb Dy
6 1 2 3
direct
0.918 0.585 0.751 Er
0.415 0.082 0.249 Er
0.585 0.918 0.751 Er
0.082 0.415 0.249 Er
0.749 0.749 0.250 Er
0.251 0.251 0.750 Er
0.000 0.000 0.000 Mg
0.666 0.334 0.000 Tb
0.334 0.666 0.000 Tb
0.166 0.834 0.500 Dy
0.834 0.166 0.500 Dy
0.500 0.500 0.500 Dy
```

Properties
For the formation energy, the calculation gives 0.029 eV/atom.


Below is a relaxed structure of TbDy6Er2Mg, with properties calculated at the PBE-GGA level.

The structure in POSCAR format:
```
TbDy6Er2Mg
1.0
-0.871 8.414 -1.943
-8.973 -0.853 0.794
4.860 2.091 7.341
Er Mg Dy Tb
4 2 12 2
direct
0.444 0.781 0.685 Er
0.056 0.315 0.219 Er
0.556 0.219 0.315 Er
0.944 0.685 0.781 Er
0.250 0.444 0.556 Mg
0.750 0.556 0.444 Mg
0.945 0.891 0.206 Dy
0.919 0.269 0.547 Dy
0.555 0.794 0.109 Dy
0.195 0.535 0.958 Dy
0.445 0.206 0.891 Dy
0.419 0.547 0.269 Dy
0.305 0.042 0.465 Dy
0.581 0.453 0.731 Dy
0.695 0.958 0.535 Dy
0.805 0.465 0.042 Dy
0.055 0.109 0.794 Dy
0.081 0.731 0.453 Dy
0.750 0.040 0.960 Tb
0.250 0.960 0.040 Tb
```

Properties
For the formation energy, the calculation gives 0.121 eV/atom.


no.,Fermi-level density of states (states/eV per atom),uncorrected energy (eV per atom),spin magnetization (μB/f.u.)
1,1.520,-4.21,0.00
2,1.336,-4.26,0.00
3,1.515,-4.23,0.00
4,1.872,-4.14,0.01
5,1.114,-4.38,0.00
6,1.301,-4.25,0.00
7,1.405,-3.61,0.00
8,1.243,-4.19,0.00
9,0.681,-3.07,0.00
10,1.629,-4.20,0.02
11,1.451,-4.31,0.00
12,1.252,-4.18,0.00